*a*
Computed, not measured: a geometry-optimized PrNd8Ho2 structure at the GGA-PBE level of DFT.

The structure belongs to space group C2/m (No. 12); the cell edges are 14.308, 6.826 and 8.677 Å and the angles 90.00°, 113.49° and 90.00°. The inequivalent atoms are Pr at (0.000, 0.000, 0.000), Nd at (0.090, 0.260, 0.381), Nd at (0.110, 0.500, 0.994), Nd at (0.238, 0.500, 0.768) and Ho at (0.148, 0.000, 0.754).

The density comes out at 6.94 Mg/m³. The size of the total moment comes out at 0.000 Bohr magnetons per cell.

***

*b*
Computed, not measured: a geometry-optimized PrNd8Ho2 structure at the GGA-PBE level of DFT.

The structure belongs to space group C2/m (No. 12); the cell edges are 17.015, 6.820 and 6.756 Å and the angles 90.00°, 99.68° and 90.00°. The inequivalent atoms are Pr at (0.000, 0.000, 0.000), Nd at (0.089, 0.263, 0.411), Nd at (0.094, 0.500, 0.914), Nd at (0.244, 0.000, 0.316) and Ho at (0.202, 0.000, 0.805).

The density comes out at 6.98 Mg/m³. The size of the total moment comes out at 0.000 Bohr magnetons per cell.

***

The structure with the greatest stability is *b*.

***

*a*
Computed, not measured: a geometry-optimized Pr5NdHo2 structure at the GGA-PBE level of DFT.

The structure belongs to space group Pbam (No. 55); the cell edges are 7.316, 14.633 and 5.176 Å and the angles 90.00°, 90.00° and 90.00°. The inequivalent atoms are Pr at (0.000, 0.000, 0.000), Pr at (0.000, 0.250, 0.000), Pr at (0.250, 0.125, 0.500), Nd at (0.000, 0.500, 0.000) and Ho at (0.249, 0.375, 0.500).

The density comes out at 7.06 Mg/m³. The size of the total moment comes out at 0.000 Bohr magnetons per cell.

***

*b*
Computed, not measured: a geometry-optimized Pr5NdHo2 structure at the GGA-PBE level of DFT.

The structure belongs to space group C2/c (No. 15); the cell edges are 17.004, 10.136 and 6.635 Å and the angles 90.00°, 99.38° and 90.00°. The inequivalent atoms are Pr at (0.000, 0.056, 0.250), Pr at (0.095, 0.404, 0.140), Pr at (0.202, 0.088, 0.019), Nd at (0.250, 0.250, 0.500) and Ho at (0.078, 0.255, 0.631).

The density comes out at 6.94 Mg/m³. The size of the total moment comes out at 0.000 Bohr magnetons per cell.

***

The structure with the greatest stability is *a*.

***

*a*
Computed, not measured: a geometry-optimized Pr2Nd8Ho3 structure at the GGA-PBE level of DFT.

The structure belongs to space group C2/m (No. 12); the cell edges are 13.500, 11.866 and 6.178 Å and the angles 90.00°, 113.95° and 90.00°. The inequivalent atoms are Pr at (0.190, 0.000, 0.343), Nd at (0.085, 0.000, 0.764), Nd at (0.138, 0.500, 0.102), Nd at (0.163, 0.261, 0.659), Ho at (0.000, 0.236, 0.000) and Ho at (0.000, 0.500, 0.500).

The density comes out at 7.09 Mg/m³. The size of the total moment comes out at 0.000 Bohr magnetons per cell.

***

*b*
Computed, not measured: a geometry-optimized Pr2Nd8Ho3 structure at the GGA-PBE level of DFT.

The structure belongs to space group C2/m (No. 12); the cell edges are 20.863, 7.734 and 5.720 Å and the angles 90.00°, 90.02° and 90.00°. The inequivalent atoms are Pr at (0.240, 0.000, 0.499), Nd at (0.103, 0.295, 0.500), Nd at (0.129, 0.000, 0.000), Nd at (0.169, 0.500, 0.001), Ho at (0.000, 0.000, 0.500) and Ho at (0.000, 0.285, 0.000).

The density comes out at 6.95 Mg/m³. The size of the total moment comes out at 0.000 Bohr magnetons per cell.

***

The structure with the greatest stability is *a*.

***

*a*
Computed, not measured: a geometry-optimized Pr4NdHo5 structure at the GGA-PBE level of DFT.

The structure belongs to space group P-1 (No. 2); the cell edges are 3.553, 8.812 and 11.396 Å and the angles 89.79°, 89.98° and 78.39°. The inequivalent atoms are Pr at (0.031, 0.434, 0.248), Pr at (0.339, 0.817, 0.250), Nd at (0.500, 0.500, 0.500), Ho at (0.174, 0.154, 0.046), Ho at (0.176, 0.151, 0.449) and Ho at (0.500, 0.500, 0.000).

The density comes out at 7.28 Mg/m³. The size of the total moment comes out at 0.000 Bohr magnetons per cell.

***

*b*
Computed, not measured: a geometry-optimized Pr4NdHo5 structure at the GGA-PBE level of DFT.

The structure belongs to space group P4/mmm (No. 123); the cell edges are 3.641, 3.641 and 25.282 Å and the angles 90.00°, 90.00° and 90.00°. The inequivalent atoms are Pr at (0.000, 0.000, 0.100), Pr at (0.000, 0.000, 0.300), Nd at (0.000, 0.000, 0.500), Ho at (0.500, 0.500, 0.000), Ho at (0.500, 0.500, 0.200) and Ho at (0.500, 0.500, 0.401).

The density comes out at 7.59 Mg/m³. The size of the total moment comes out at 0.000 Bohr magnetons per cell.

***

The structure with the greatest stability is *b*.

***

*a*
Computed, not measured: a geometry-optimized Pr3Nd4Ho structure at the GGA-PBE level of DFT.

The structure belongs to space group Pmna (No. 53); the cell edges are 10.382, 7.346 and 7.340 Å and the angles 90.00°, 90.00° and 90.00°. The inequivalent atoms are Pr at (0.000, 0.000, 0.000), Pr at (0.250, 0.253, 0.250), Nd at (0.000, 0.000, 0.500), Nd at (0.000, 0.500, 0.000), Nd at (0.250, 0.253, 0.750) and Ho at (0.000, 0.500, 0.500).

The density comes out at 6.91 Mg/m³. The size of the total moment comes out at 0.000 Bohr magnetons per cell.

***

*b*
Computed, not measured: a geometry-optimized Pr3Nd4Ho structure at the GGA-PBE level of DFT.

The structure belongs to space group Pmn2_1 (No. 31); the cell edges are 11.892, 6.388 and 7.384 Å and the angles 90.00°, 90.00° and 90.00°. The inequivalent atoms are Pr at (0.000, 0.167, 0.000), Pr at (0.250, 0.500, 0.000), Nd at (0.000, 0.166, 0.501), Nd at (0.000, 0.667, 0.250), Nd at (0.248, 0.999, 0.751) and Ho at (0.000, 0.666, 0.750).

The density comes out at 6.90 Mg/m³. The size of the total moment comes out at 0.000 Bohr magnetons per cell.

***

The structure with the greatest stability is *b*.

***

*a*
Computed, not measured: a geometry-optimized Pr4Nd5Ho2 structure at the GGA-PBE level of DFT.

The structure belongs to space group C2/m (No. 12); the cell edges are 24.435, 3.539 and 8.994 Å and the angles 90.00°, 96.71° and 90.00°. The inequivalent atoms are Pr at (0.044, 0.000, 0.359), Pr at (0.177, 0.500, 0.470), Nd at (0.000, 0.500, 0.000), Nd at (0.142, 0.000, 0.114), Nd at (0.230, 0.000, 0.823) and Ho at (0.091, 0.000, 0.734).

The density comes out at 6.94 Mg/m³. The size of the total moment comes out at 0.000 Bohr magnetons per cell.

***

*b*
Computed, not measured: a geometry-optimized Pr4Nd5Ho2 structure at the GGA-PBE level of DFT.

The structure belongs to space group P2/m (No. 10); the cell edges are 9.083, 3.567 and 11.970 Å and the angles 90.00°, 94.39° and 90.00°. The inequivalent atoms are Pr at (0.155, 0.000, 0.392), Pr at (0.285, 0.000, 0.950), Nd at (0.198, 0.500, 0.670), Nd at (0.427, 0.500, 0.208), Nd at (0.500, 0.500, 0.500) and Ho at (0.057, 0.500, 0.135).

The density comes out at 6.93 Mg/m³. The size of the total moment comes out at 0.000 Bohr magnetons per cell.

***

The structure with the greatest stability is *b*.

***

*a*
Computed, not measured: a geometry-optimized PrNd2Ho6 structure at the GGA-PBE level of DFT.

The structure belongs to space group R3m (No. 160, hexagonal axes); the cell edges are 7.4348, 7.4348 and 19.0200 Å and the angles 90.00°, 90.00° and 120.00°. The inequivalent atoms are Pr at (0.0000, 0.0000, 0.0000), Nd at (0.0000, 0.0000, 0.5609), Nd at (0.0000, 0.0000, 0.7364), Ho at (0.1754, 0.3508, 0.8814) and Ho at (0.1893, 0.3786, 0.0784).

The density comes out at 7.76 Mg/m³. The size of the total moment comes out at 0.001 Bohr magnetons per cell.

***

*b*
Computed, not measured: a geometry-optimized PrNd2Ho6 structure at the GGA-PBE level of DFT.

The structure belongs to space group C2/m (No. 12); the cell edges are 18.043, 9.905 and 3.424 Å and the angles 90.00°, 100.93° and 90.00°. The inequivalent atoms are Pr at (0.000, 0.000, 0.000), Nd at (0.167, 0.500, 0.665), Ho at (0.000, 0.314, 0.500) and Ho at (0.167, 0.187, 0.166).

The density comes out at 7.84 Mg/m³. The size of the total moment comes out at 0.000 Bohr magnetons per cell.

***

The structure with the greatest stability is *b*.

***

*a*
Computed, not measured: a geometry-optimized PrNd2Ho4 structure at the GGA-PBE level of DFT.

The structure belongs to space group P2/m (No. 10); the cell edges are 6.896, 10.416 and 7.019 Å and the angles 90.00°, 106.58° and 90.00°. The inequivalent atoms are Pr at (0.000, 0.000, 0.000), Pr at (0.500, 0.000, 0.000), Nd at (0.000, 0.000, 0.500), Nd at (0.000, 0.500, 0.000), Nd at (0.000, 0.500, 0.500), Nd at (0.500, 0.500, 0.500), Ho at (0.270, 0.220, 0.311) and Ho at (0.270, 0.282, 0.811).

The density comes out at 7.49 Mg/m³. The size of the total moment comes out at 0.000 Bohr magnetons per cell.

***

*b*
Computed, not measured: a geometry-optimized PrNd2Ho4 structure at the GGA-PBE level of DFT.

The structure belongs to space group P2_1/m (No. 11); the cell edges are 6.149, 6.622 and 11.693 Å and the angles 90.00°, 104.37° and 90.00°. The inequivalent atoms are Pr at (0.037, 0.250, 0.363), Nd at (0.156, 0.250, 0.952), Nd at (0.397, 0.750, 0.513), Ho at (0.147, 0.250, 0.668), Ho at (0.285, 0.750, 0.922) and Ho at (0.343, 0.508, 0.210).

The density comes out at 7.84 Mg/m³. The size of the total moment comes out at 0.000 Bohr magnetons per cell.

***

The structure with the greatest stability is *b*.